# 1
# SrCrSb2

A geometry-optimized SrCrSb2 structure (PBE-GGA, the Alexandria database).

Calculated values
DOS at the Fermi energy in states/eV/atom: 0.37
Total DFT energy (no corrections) in eV per cell: -20.92
Total magnetic moment in μB per formula unit: 2.87
Space group: R3m, No. 160
Crystal system: trigonal

Cell: 7.548 7.548 7.548 Å, 32.84 32.84 32.84°
Element x y z (fractional)
1 Sb 0.274 0.274 0.274
2 Sb 0.060 0.060 0.060
3 Sr 0.497 0.497 0.497
4 Cr 0.669 0.669 0.669

# 2
# SrCrSb2

A geometry-optimized SrCrSb2 structure (PBE-GGA, the Alexandria database).

Calculated values
DOS at the Fermi energy in states/eV/atom: 0.89
Total DFT energy (no corrections) in eV per cell: -18.86
Total magnetic moment in μB per formula unit: 4.52
Space group: F-43m, No. 216
Crystal system: cubic

Cell: 5.397 5.397 5.397 Å, 60.00 60.00 60.00°
Element x y z (fractional)
1 Sb 0.250 0.250 0.250
2 Sb 0.000 0.000 0.000
3 Sr 0.750 0.750 0.750
4 Cr 0.500 0.500 0.500

# 3
# Sr2CrSb

A geometry-optimized Sr2CrSb structure (PBE-GGA, the Alexandria database).

Calculated values
DOS at the Fermi energy in states/eV/atom: 0.84
Total DFT energy (no corrections) in eV per cell: -17.07
Total magnetic moment in μB per formula unit: 4.34
Space group: P4mm, No. 99
Crystal system: tetragonal

Cell: 3.887 3.887 9.093 Å, 90.00 90.00 90.01°
Element x y z (fractional)
1 Sr 0.500 0.500 0.310
2 Sr 0.000 0.000 0.933
3 Cr 0.000 0.000 0.576
4 Sb 0.500 0.500 0.681

# 4
# Sr2CrSb

A geometry-optimized Sr2CrSb structure (PBE-GGA, the Alexandria database).

Calculated values
DOS at the Fermi energy in states/eV/atom: 0.87
Total DFT energy (no corrections) in eV per cell: -16.43
Total magnetic moment in μB per formula unit: 4.22
Space group: F-43m, No. 216
Crystal system: cubic

Cell: 5.550 5.550 5.550 Å, 60.00 60.00 60.00°
Element x y z (fractional)
1 Sb 0.750 0.750 0.750
2 Sr 0.250 0.250 0.250
3 Sr 0.000 0.000 0.000
4 Cr 0.500 0.500 0.500

The lowest total DFT energy (no corrections) belongs to which entry?
number 1

Number 4 is which compound?
Sr2CrSb